# NaHfAl

NaHfAl after structural relaxation (GGA-PBE, Alexandria).

Cell: 16.1519 3.1748 3.1748 Å, 119.88 101.44 78.56°
Closest atoms and distances in Å follow each position.
Atoms (fractional coordinates):
Na 0.8484 0.7560 0.2440  6 Na 3.17-3.18, 3 Al 3.25-3.26
Na 0.6475 0.5464 0.4536  6 Na 3.17-3.18, 3 Al 3.25-3.26
Hf 0.1696 0.2068 0.7932  3 Al 2.99, 9 Hf 3.06-3.18
Hf 0.3258 0.4354 0.5646  3 Al 3.00, 9 Hf 3.06-3.18
Al 0.4766 0.9991 0.0009  3 Hf 3.00, 6 Al 3.17-3.18, 3 Na 3.25-3.26
Al 0.0195 0.9738 0.0262  3 Hf 2.99, 6 Al 3.17-3.18, 3 Na 3.25-3.26

Total DFT energy (no corrections) ... -4.955 eV/atom
Calculated formation energy ... 50 meV per atom
Mass density ... 5.52 g/cm³